The following is a GGA-PBE calculation of Y2ScCd2 after structural relaxation, from Alexandria via LeMat-Bulk.

Properties
polymorph energy (0 for the lowest one)	98	meV per atom
calculated formation energy	-0.1376	eV/atom
DOS at the Fermi energy	1.330	states/eV/atom
calculated volume	27.20	Å³/atom

abc: 3.940 6.354 6.354
angles: 67.07 71.94 71.94
Fractional positions:
Sc 0.000 0.000 0.000
Cd 0.500 0.297 0.703
Y 0.780 0.720 0.720
Cd 0.500 0.703 0.297
Y 0.220 0.280 0.280